No. 1
Nd3DyEr6Th2 | PBE-GGA | optimized geometry

Structure (POSCAR):
```
Nd3DyEr6Th2
1.0
-4.939 -3.613 -0.905
4.918 -0.497 -3.720
4.535 -6.581 8.593
Er Th Nd Dy
6 2 3 1
direct
0.419 0.082 0.245
0.082 0.419 0.245
0.918 0.581 0.755
0.581 0.918 0.755
0.744 0.744 0.245
0.256 0.256 0.755
0.667 0.333 0.000
0.333 0.667 0.000
0.166 0.834 0.500
0.834 0.166 0.500
0.500 0.500 0.500
0.000 0.000 0.000
```

* volume: 382.9 Å³/cell
* formation enthalpy at 0 K: 0.222 eV per formula unit
* spin magnetization: 0.00 μB/cell
* N(E_F): 15.416 states/eV/cell
* space-group type: No. 12

---

No. 2
NdDyEr3Th | PBE-GGA | optimized geometry

Structure (POSCAR):
```
NdDyEr3Th
1.0
5.049 0.000 0.000
0.000 7.844 -1.215
0.000 -3.163 10.142
Er Th Dy Nd
6 2 2 2
direct
0.250 0.618 0.793
0.750 0.375 0.544
0.750 0.869 0.042
0.750 0.382 0.207
0.250 0.131 0.958
0.250 0.625 0.456
0.250 0.619 0.122
0.750 0.381 0.878
0.750 0.871 0.372
0.250 0.129 0.628
0.750 0.876 0.708
0.250 0.124 0.292
```

* volume: 382.3 Å³/cell
* formation enthalpy at 0 K: 0.167 eV per formula unit
* spin magnetization: 0.00 μB/cell
* N(E_F): 18.011 states/eV/cell
* space-group type: No. 11

---

No. 3
NdDy2Er5Th | PBE-GGA | optimized geometry

Structure (POSCAR):
```
NdDy2Er5Th
1.0
-0.744 8.680 -0.602
-7.115 -0.955 -4.973
-0.373 -3.805 8.933
Er Dy Nd Th
10 4 2 2
direct
0.656 0.156 0.728
0.844 0.928 0.272
0.928 0.428 0.272
0.156 0.072 0.728
0.428 0.344 0.272
0.072 0.572 0.728
0.500 0.500 0.000
0.000 0.000 0.000
0.572 0.656 0.728
0.344 0.844 0.272
0.385 0.885 0.000
0.885 0.615 0.000
0.615 0.115 0.000
0.115 0.385 0.000
0.250 0.750 0.500
0.750 0.250 0.500
0.250 0.250 0.500
0.750 0.750 0.500
```

* volume: 572.1 Å³/cell
* formation enthalpy at 0 K: 2.810 eV per formula unit
* spin magnetization: 0.00 μB/cell
* N(E_F): 22.659 states/eV/cell
* space-group type: No. 140

---

No. 4
NdDy5ErTh2 | PBE-GGA | optimized geometry

Structure (POSCAR):
```
NdDy5ErTh2
1.0
-2.086 2.220 -8.332
-2.785 -8.286 -1.511
-4.572 4.974 7.193
Dy Th Nd Er
10 4 2 2
direct
0.346 0.846 0.275
0.500 0.500 0.000
0.929 0.429 0.275
0.154 0.071 0.725
0.571 0.654 0.725
0.429 0.346 0.275
0.654 0.154 0.725
0.071 0.571 0.725
0.846 0.929 0.275
0.000 0.000 0.000
0.381 0.881 0.000
0.881 0.619 0.000
0.119 0.381 0.000
0.619 0.119 0.000
0.750 0.750 0.500
0.250 0.250 0.500
0.250 0.750 0.500
0.750 0.250 0.500
```

* volume: 599.5 Å³/cell
* formation enthalpy at 0 K: 3.037 eV per formula unit
* spin magnetization: 0.00 μB/cell
* N(E_F): 25.428 states/eV/cell
* space-group type: No. 140

---

No. 5
NdDy6Er3Th2 | PBE-GGA | optimized geometry

Structure (POSCAR):
```
NdDy6Er3Th2
1.0
6.164 0.002 -0.003
-3.079 5.340 -0.003
-1.025 -1.774 11.562
Dy Th Er Nd
6 2 3 1
direct
0.422 0.084 0.250
0.916 0.578 0.750
0.084 0.422 0.250
0.578 0.916 0.750
0.746 0.746 0.250
0.254 0.254 0.750
0.667 0.333 0.000
0.333 0.667 0.000
0.500 0.500 0.500
0.166 0.834 0.500
0.834 0.166 0.500
0.000 0.000 0.000
```

* volume: 380.6 Å³/cell
* formation enthalpy at 0 K: 0.409 eV per formula unit
* spin magnetization: 0.00 μB/cell
* N(E_F): 17.274 states/eV/cell
* space-group type: No. 12

---

No. 6
NdDyErTh2 | PBE-GGA | optimized geometry

Structure (POSCAR):
```
NdDyErTh2
1.0
6.674 0.000 0.000
0.000 6.670 0.000
0.000 -3.335 7.837
Nd Th Dy Er
2 4 2 2
direct
0.250 0.653 0.305
0.750 0.347 0.695
0.000 0.753 0.000
0.000 0.247 0.000
0.500 0.753 0.000
0.500 0.247 0.000
0.250 0.241 0.482
0.750 0.759 0.518
0.250 0.849 0.697
0.750 0.151 0.303
```

* volume: 348.9 Å³/cell
* formation enthalpy at 0 K: 2.088 eV per formula unit
* spin magnetization: 0.00 μB/cell
* N(E_F): 14.485 states/eV/cell
* space-group type: No. 63